1.
# La2SmTl

An optimized crystal structure of La2SmTl (PBE, Alexandria via LeMat-Bulk).

```
4
Lattice="3.7438 0.0000 0.0000 0.0000 3.7438 0.0000 0.0000 0.0000 9.6186" Properties=species:S:1:pos:R:3 pbc="T T T"
Tl 1.8719 1.8719 0.0000
Sm 1.8719 1.8719 4.8093
La 0.0000 0.0000 7.4113
La 0.0000 0.0000 2.2073
```

spin magnetization = 0.00 Bohr magnetons per cell
energy of formation = -0.67 eV per formula unit
DOS(E_F) = 4.4 states/eV/f.u.
offset from the most stable computed form = 56 meV per atom

---

2.
# Ac4Cd3In2

An optimized crystal structure of Ac4Cd3In2 (PBE, Alexandria via LeMat-Bulk).

```
9
Lattice="5.4909 0.0007 0.0011 2.7452 4.7598 0.1897 -0.0026 -0.4334 11.5200" Properties=species:S:1:pos:R:3 pbc="T T T"
Ac 5.4888 2.7863 10.3795
Ac 5.4895 -0.1445 3.9255
Ac 2.7440 4.4716 7.7853
Ac 2.7448 1.5408 1.3313
Cd 2.7441 1.3678 5.9083
Cd 0.0000 0.0000 0.0000
Cd 5.4895 2.9593 5.8025
In 2.7439 1.2430 9.1269
In 5.4897 3.0841 2.5839
```

spin magnetization = 0.00 Bohr magnetons per cell
energy of formation = -2.58 eV per formula unit
DOS(E_F) = 8.4 states/eV/f.u.

---

3.
# CaNdCd4

An optimized crystal structure of CaNdCd4 (PBE, Alexandria via LeMat-Bulk).

```
6
Lattice="-2.6697 3.1394 2.1267 -5.2602 -7.4361 4.3735 2.4615 0.0423 3.0275" Properties=species:S:1:pos:R:3 pbc="T T T"
Ca -2.7342 -2.1272 4.7639
Nd 0.0000 0.0000 0.0000
Cd -2.9208 -4.1086 7.4544
Cd -2.5476 -0.1459 2.0734
Cd -0.1573 -1.9433 2.6711
Cd -2.6414 -5.4505 4.7299
```

spin magnetization = 0.00 Bohr magnetons per cell
energy of formation = -0.23 eV per formula unit
DOS(E_F) = 3.5 states/eV/f.u.
offset from the most stable computed form = 300 meV per atom

---

4.
# ThTl2BiS4

An optimized crystal structure of ThTl2BiS4 (PBE, Alexandria via LeMat-Bulk).

```
8
Lattice="4.1797 0.0000 0.0000 0.0000 8.3042 -0.5339 0.0000 2.5700 6.5663" Properties=species:S:1:pos:R:3 pbc="T T T"
Th 0.0000 5.4371 3.0162
Tl 0.0000 2.5700 6.5663
Tl 2.0899 1.2850 3.2831
Bi 2.0899 4.1521 -0.2670
S 0.0001 7.7320 4.6159
S 4.1797 3.1422 1.4164
S 2.0899 6.4672 1.4378
S 2.0899 4.4070 4.5946
```

spin magnetization = 0.00 Bohr magnetons per cell
formation energy from raw total energies = -6.99 eV per formula unit
DOS(E_F) = 3.1 states/eV/f.u.